No. 1
This record from Alexandria via LeMat-Bulk describes TaCrO4 after structural relaxation. The functional is PBE+U.

a b c (Å): 4.739 5.631 5.614
angles (deg): 114.29 90.00 90.00
Sites, in units of the cell vectors:
O 0.696 0.156 0.853
O 0.804 0.656 0.853
O 0.693 0.643 0.340
O 0.196 0.344 0.147
O 0.307 0.357 0.660
O 0.193 0.857 0.660
O 0.304 0.844 0.147
O 0.807 0.143 0.340
Cr 0.000 0.500 0.500
Cr 0.500 0.000 0.500
Ta 0.000 0.000 0.000
Ta 0.500 0.500 0.000

As for the total magnetization: 6.00 Bohr magnetons per cell. As for the space group: P2_1/c. Its raw total energy is -9.0118 eV per atom. Its crystal system is monoclinic.


No. 2
This record from Alexandria via LeMat-Bulk describes Ta2Cr4O9 after structural relaxation. The functional is PBE+U.

a b c (Å): 5.556 5.104 14.894
angles (deg): 90.01 81.25 62.65
Sites, in units of the cell vectors:
O 0.334 0.621 0.087
O 0.667 0.954 0.413
O 0.051 0.690 0.574
O 0.261 0.996 0.246
O 0.308 0.662 0.396
O 0.333 0.046 0.587
O 0.052 0.259 0.075
O 0.259 0.744 0.745
O 0.948 0.741 0.925
O 0.692 0.338 0.604
O 0.949 0.310 0.426
O 0.306 0.031 0.896
O 0.999 0.321 0.750
O 0.666 0.379 0.913
O 0.001 0.679 0.250
O 0.741 0.256 0.255
O 0.694 0.969 0.104
O 0.739 0.004 0.754
Ta 0.992 0.023 0.647
Ta 0.008 0.977 0.353
Ta 0.993 0.984 0.147
Ta 0.007 0.016 0.853
Cr 0.676 0.658 0.018
Cr 0.676 0.665 0.518
Cr 0.324 0.335 0.482
Cr 0.654 0.662 0.313
Cr 0.346 0.338 0.687
Cr 0.653 0.685 0.812
Cr 0.324 0.342 0.982
Cr 0.347 0.315 0.188

As for the total magnetization: 32.00 Bohr magnetons per cell. As for the space group: P-1. Its raw total energy is -8.7359 eV per atom. Its crystal system is triclinic.


No. 3
This record from Alexandria via LeMat-Bulk describes TaCrO2 after structural relaxation. The functional is PBE+U.

a b c (Å): 6.906 6.906 6.906
angles (deg): 24.42 24.42 24.42
Sites, in units of the cell vectors:
O 0.900 0.900 0.900
O 0.100 0.100 0.100
Ta 0.500 0.500 0.500
Cr 0.000 0.000 0.000

As for the total magnetization: 4.10 Bohr magnetons per cell. As for the space group: R-3m. Its raw total energy is -8.8298 eV per atom. Its crystal system is trigonal. Its energy above the lowest structure with this stoichiometry is 0 meV per atom.


No. 4
This record from Alexandria via LeMat-Bulk describes TaCrO4 after structural relaxation. The functional is PBE+U.

a b c (Å): 3.092 4.684 4.684
angles (deg): 91.13 90.00 90.00
Sites, in units of the cell vectors:
O 0.500 0.307 0.693
O 0.500 0.693 0.307
O 0.000 0.802 0.802
O 0.000 0.198 0.198
Ta 0.000 0.500 0.500
Cr 0.500 0.000 0.000

As for the total magnetization: 3.00 Bohr magnetons per cell. As for the space group: Cmmm. Its raw total energy is -8.9979 eV per atom. Its crystal system is orthorhombic.


No. 5
This record from Alexandria via LeMat-Bulk describes TaCr3O after structural relaxation. The functional is PBE+U.

a b c (Å): 4.215 4.215 4.215
angles (deg): 90.00 90.00 90.00
Sites, in units of the cell vectors:
O 0.000 0.000 0.000
Cr 0.500 0.000 0.000
Cr 0.000 0.000 0.500
Cr 0.000 0.500 0.000
Ta 0.500 0.500 0.500

As for the total magnetization: 9.01 Bohr magnetons per cell. As for the space group: Pm-3m. Its raw total energy is -7.7150 eV per atom. Its crystal system is cubic. Its energy above the lowest structure with this stoichiometry is 0 meV per atom.


No. 6
This record from Alexandria via LeMat-Bulk describes Ta2Cr4O after structural relaxation. The functional is PBE+U.

a b c (Å): 3.930 3.930 8.179
angles (deg): 76.10 76.10 90.00
Sites, in units of the cell vectors:
Cr 0.500 0.000 0.000
Cr 0.142 0.142 0.715
Cr 0.000 0.500 0.000
Cr 0.858 0.858 0.285
Ta 0.690 0.690 0.619
Ta 0.310 0.310 0.381
O 0.000 0.000 0.000

As for the total magnetization: 12.74 Bohr magnetons per cell. As for the space group: I4/mmm. Its raw total energy is -7.9064 eV per atom. Its crystal system is tetragonal.


No. 7
This record from Alexandria via LeMat-Bulk describes TaCrO2 after structural relaxation. The functional is PBE+U.

a b c (Å): 4.484 4.484 6.557
angles (deg): 70.01 70.01 90.00
Sites, in units of the cell vectors:
O 0.050 0.625 0.250
O 0.875 0.950 0.750
O 0.700 0.125 0.250
O 0.375 0.300 0.750
Ta 0.750 0.250 0.500
Ta 0.000 0.000 0.000
Cr 0.500 0.500 0.000
Cr 0.250 0.750 0.500

As for the total magnetization: 7.77 Bohr magnetons per cell. As for the space group: I-42d. Its raw total energy is -8.5816 eV per atom. Its crystal system is tetragonal. Its energy above the lowest structure with this stoichiometry is 248 meV per atom.


No. 8
This record from Alexandria via LeMat-Bulk describes TaCrO4 after structural relaxation. The functional is PBE+U.

a b c (Å): 4.505 11.939 5.025
angles (deg): 90.00 90.00 90.00
Sites, in units of the cell vectors:
O 0.759 0.556 0.082
O 0.241 0.556 0.418
O 0.267 0.190 0.918
O 0.233 0.690 0.918
O 0.767 0.690 0.582
O 0.733 0.810 0.082
O 0.267 0.810 0.418
O 0.233 0.310 0.418
O 0.741 0.944 0.582
O 0.259 0.056 0.418
O 0.759 0.444 0.582
O 0.259 0.944 0.918
O 0.241 0.444 0.918
O 0.733 0.190 0.582
O 0.741 0.056 0.082
O 0.767 0.310 0.082
Ta 0.000 0.424 0.250
Ta 0.000 0.576 0.750
Ta 0.500 0.076 0.750
Ta 0.500 0.924 0.250
Cr 0.500 0.678 0.250
Cr 0.000 0.178 0.250
Cr 0.000 0.822 0.750
Cr 0.500 0.322 0.750

As for the total magnetization: 12.00 Bohr magnetons per cell. As for the space group: Pbcn. Its raw total energy is -8.9489 eV per atom. Its crystal system is orthorhombic.